a) Compound: HfAg2H2
Source: Alexandria
Functional: PBE
Structure: relaxed

Properties
SG: No. 139

Cell lengths 3.776, 3.776, 5.541 Å; angles 70.08, 70.08, 90.00 degrees
Positions (direct):
Hf 0.000 0.000 0.000
H 0.457 0.457 0.086
H 0.543 0.543 0.914
Ag 0.750 0.250 0.500
Ag 0.250 0.750 0.500

b) Compound: HfAg2H2
Source: Alexandria
Functional: PBE
Structure: relaxed

Properties
SG: No. 127

Cell lengths 5.514, 5.514, 4.384 Å; angles 90.00, 90.00, 90.00 degrees
Positions (direct):
Hf 0.500 0.500 0.000
Hf 0.000 0.000 0.000
Ag 0.678 0.822 0.500
Ag 0.822 0.322 0.500
Ag 0.322 0.178 0.500
Ag 0.178 0.678 0.500
H 0.679 0.821 0.000
H 0.179 0.679 0.000
H 0.321 0.179 0.000
H 0.821 0.321 0.000

The least stable of them is a).

a) Compound: Hf2AgH
Source: Alexandria
Functional: PBE
Structure: relaxed

Properties
SG: No. 122

Cell lengths 6.364, 6.364, 5.560 Å; angles 55.09, 55.09, 90.00 degrees
Positions (direct):
H 0.250 0.750 0.500
H 0.500 0.500 0.000
Hf 0.214 0.625 0.250
Hf 0.375 0.464 0.750
Hf 0.875 0.786 0.750
Hf 0.536 0.125 0.250
Ag 0.750 0.250 0.500
Ag 0.000 0.000 0.000

b) Compound: Hf2AgH
Source: Alexandria
Functional: PBE
Structure: relaxed

Properties
SG: No. 225

Cell lengths 4.601, 4.601, 4.601 Å; angles 60.00, 60.00, 60.00 degrees
Positions (direct):
H 0.000 0.000 0.000
Hf 0.250 0.250 0.250
Hf 0.750 0.750 0.750
Ag 0.500 0.500 0.500

c) Compound: Hf2AgH
Source: Alexandria
Functional: PBE
Structure: relaxed

Properties
SG: No. 166

Cell lengths 3.010, 3.010, 8.722 Å; angles 80.06, 80.06, 60.00 degrees
Positions (direct):
Hf 0.888 0.888 0.335
Hf 0.112 0.112 0.665
Ag 0.000 0.000 0.000
H 0.500 0.500 0.500

The least stable of them is b).

a) Compound: Hf3AgH
Source: Alexandria
Functional: PBE
Structure: relaxed

Properties
SG: No. 221

Cell lengths 5.128, 5.128, 5.128 Å; angles 90.00, 90.00, 90.00 degrees
Positions (direct):
Ag 0.000 0.000 0.000
Hf 0.000 0.500 0.000
Hf 0.000 0.000 0.500
Hf 0.500 0.000 0.000
H 0.500 0.500 0.500

b) Compound: Hf3AgH
Source: Alexandria
Functional: PBE
Structure: relaxed

Properties
SG: No. 221

Cell lengths 4.392, 4.392, 4.392 Å; angles 90.00, 90.00, 90.00 degrees
Positions (direct):
Hf 0.000 0.500 0.000
Hf 0.000 0.000 0.500
Hf 0.500 0.000 0.000
Ag 0.500 0.500 0.500
H 0.000 0.000 0.000

The least stable of them is a).

a) Compound: Hf2AgHPd
Source: Alexandria
Functional: PBE
Structure: relaxed

Properties
SG: No. 123

Cell lengths 4.371, 4.371, 4.039 Å; angles 90.00, 90.00, 90.00 degrees
Positions (direct):
H 0.000 0.000 0.000
Hf 0.500 0.000 0.000
Hf 0.000 0.500 0.000
Ag 0.500 0.500 0.500
Pd 0.000 0.000 0.500

b) Compound: Hf2AgHPd
Source: Alexandria
Functional: PBE
Structure: relaxed

Properties
SG: No. 123

Cell lengths 4.307, 4.307, 4.154 Å; angles 90.00, 90.00, 90.00 degrees
Positions (direct):
Ag 0.000 0.000 0.500
Hf 0.000 0.500 0.000
Hf 0.500 0.000 0.000
H 0.000 0.000 0.000
Pd 0.500 0.500 0.500

The least stable of them is b).

a) Compound: HfAgHRh2
Source: Alexandria
Functional: PBE
Structure: relaxed

Properties
SG: No. 123

Cell lengths 4.073, 4.073, 4.039 Å; angles 90.00, 90.00, 90.00 degrees
Positions (direct):
Rh 0.500 0.000 0.000
Rh 0.000 0.500 0.000
Ag 0.500 0.500 0.500
H 0.000 0.000 0.000
Hf 0.000 0.000 0.500

b) Compound: HfAgHRh2
Source: Alexandria
Functional: PBE
Structure: relaxed

Properties
SG: No. 123

Cell lengths 4.168, 4.168, 3.846 Å; angles 90.00, 90.00, 90.00 degrees
Positions (direct):
H 0.000 0.000 0.000
Hf 0.500 0.500 0.500
Rh 0.000 0.500 0.000
Rh 0.500 0.000 0.000
Ag 0.000 0.000 0.500

c) Compound: HfAgHRh2
Source: Alexandria
Functional: PBE
Structure: relaxed

Properties
SG: No. 123

Cell lengths 4.888, 3.464, 4.888 Å; angles 90.00, 90.00, 90.00 degrees
Positions (direct):
Ag 0.500 0.500 0.500
H 0.000 0.500 0.000
Rh 0.000 0.000 0.500
Rh 0.500 0.000 0.000
Hf 0.000 0.000 0.000

The least stable of them is c).

a) Compound: Hf2ZrAgH
Source: Alexandria
Functional: PBE
Structure: relaxed

Properties
SG: No. 123

Cell lengths 4.408, 4.408, 4.403 Å; angles 90.00, 90.00, 90.00 degrees
Positions (direct):
Ag 0.500 0.500 0.500
Hf 0.500 0.000 0.000
Hf 0.000 0.500 0.000
H 0.000 0.000 0.000
Zr 0.000 0.000 0.500

b) Compound: Hf2ZrAgH
Source: Alexandria
Functional: PBE
Structure: relaxed

Properties
SG: No. 123

Cell lengths 4.388, 4.388, 4.447 Å; angles 90.00, 90.00, 90.00 degrees
Positions (direct):
Zr 0.500 0.500 0.500
Hf 0.500 0.000 0.000
Hf 0.000 0.500 0.000
H 0.000 0.000 0.000
Ag 0.000 0.000 0.500

The least stable of them is b).